This record from Alexandria describes a geometry-optimized Ba3Cd8Sn3 structure. The functional is PBE.

- Formation energy: -4.60 eV per formula unit
- SG: Immm, No. 71
- Relative energy among the computed polymorphs: 0.031 eV per atom

POSCAR file:
```
Ba3Cd8Sn3
1.0
-1.187 -1.578 -4.641
4.513 -8.337 -1.060
-6.333 -7.021 1.266
Sn Ba Cd
3 3 8
direct
0.500 0.000 0.000 Sn
0.000 0.212 0.788 Sn
0.000 0.788 0.212 Sn
0.187 0.813 0.813 Ba
0.500 0.500 0.500 Ba
0.813 0.187 0.187 Ba
0.833 0.535 0.798 Cd
0.641 0.088 0.629 Cd
0.641 0.629 0.088 Cd
0.833 0.798 0.535 Cd
0.167 0.465 0.202 Cd
0.167 0.202 0.465 Cd
0.359 0.371 0.912 Cd
0.359 0.912 0.371 Cd
```